Record 1
First-principles (PBE) data for La8Pm2Tl after structural relaxation, as listed in Alexandria via LeMat-Bulk.

a = 9.7976 Å, b = 9.7976 Å, c = 6.2743 Å
α = 102.29°, β = 102.29°, γ = 40.86°
Sites, in units of the cell vectors:
La1 0.0302 0.0302 0.2779
La2 0.0798 0.6056 0.0005
La3 0.3944 0.9202 0.9995
La4 0.4010 0.4010 0.4763
La5 0.5990 0.5990 0.5237
La6 0.6056 0.0798 0.0005
La7 0.9202 0.3944 0.9995
La8 0.9698 0.9698 0.7221
Pm1 0.2165 0.2165 0.5389
Pm2 0.7835 0.7835 0.4611
Tl1 0.5000 0.5000 0.0000

Output
As for the energy relative to the elements: 0.2 eV per formula unit.

=====

Record 2
First-principles (PBE) data for TbNdDy6Er2 after structural relaxation, as listed in Alexandria via LeMat-Bulk.

a = 8.7692 Å, b = 8.7692 Å, c = 9.5013 Å
α = 93.50°, β = 93.50°, γ = 117.52°
Sites, in units of the cell vectors:
Tb1 0.0905 0.9095 0.7500
Tb2 0.9095 0.0905 0.2500
Nd1 0.4727 0.5273 0.2500
Nd2 0.5273 0.4727 0.7500
Dy1 0.0106 0.7922 0.3819
Dy2 0.0644 0.5175 0.1822
Dy3 0.2078 0.9894 0.1181
Dy4 0.2519 0.6210 0.5567
Dy5 0.3790 0.7481 0.9433
Dy6 0.4825 0.9356 0.3178
Dy7 0.5175 0.0644 0.6822
Dy8 0.6210 0.2519 0.0567
Dy9 0.7481 0.3790 0.4433
Dy10 0.7922 0.0106 0.8819
Dy11 0.9356 0.4825 0.8178
Dy12 0.9894 0.2078 0.6181
Er1 0.1968 0.3013 0.9530
Er2 0.3013 0.1968 0.4530
Er3 0.6987 0.8032 0.5470
Er4 0.8032 0.6987 0.0470

Output
As for the energy relative to the elements: 1.2 eV per formula unit.

=====

Record 3
First-principles (PBE) data for TcHgTe3 after structural relaxation, as listed in Alexandria via LeMat-Bulk.

a = 5.2832 Å, b = 5.2832 Å, c = 5.2832 Å
α = 90.00°, β = 90.00°, γ = 90.00°
Sites, in units of the cell vectors:
Tc1 0.0000 0.0000 0.0000
Hg1 0.5000 0.5000 0.5000
Te1 0.0000 0.0000 0.5000
Te2 0.0000 0.5000 0.0000
Te3 0.5000 0.0000 0.0000

Output
Its raw formation energy is 0.4230 eV/atom.

=====

no.,E (eV for the cell shown),spin magnetization (μB per cell)
1,-51.1,0.00
2,-89.8,0.00
3,-18.0,0.00